[1]
## Ho7Al2Pd2 (PBE-GGA)

Data for a relaxed Ho7Al2Pd2 crystal.

Calculated values
total DFT energy (no corrections): -53.2 eV/cell
Fermi-level density of states: 9.76 states/eV/cell

abc: 6.726 6.726 7.005
angles: 90.00 90.00 107.90
Atoms (fractional coordinates):
Ho (0.000, 0.000, 0.000)
Ho (0.000, 0.500, 0.263)
Ho (0.000, 0.500, 0.737)
Ho (0.500, 0.000, 0.263)
Ho (0.500, 0.000, 0.737)
Ho (0.500, 0.500, 0.258)
Ho (0.500, 0.500, 0.742)
Al (0.167, 0.167, 0.500)
Al (0.833, 0.833, 0.500)
Pd (0.292, 0.708, 0.000)
Pd (0.708, 0.292, 0.000)

***

[2]
## LaPrOsO6 (PBE-GGA)

Data for a relaxed LaPrOsO6 crystal.

Calculated values
raw formation energy: -2.293 eV/atom
Fermi-level density of states: 9.66 states/eV/cell

abc: 5.757 5.757 9.655
angles: 90.00 90.00 120.00
Atoms (fractional coordinates):
La (0.333, 0.667, 0.250)
La (0.667, 0.333, 0.750)
Pr (0.000, 0.000, 0.000)
Pr (0.000, 0.000, 0.500)
Os (0.333, 0.667, 0.750)
Os (0.667, 0.333, 0.250)
O (0.059, 0.381, 0.636)
O (0.059, 0.678, 0.864)
O (0.322, 0.381, 0.864)
O (0.322, 0.941, 0.636)
O (0.381, 0.059, 0.136)
O (0.381, 0.322, 0.364)
O (0.619, 0.678, 0.636)
O (0.619, 0.941, 0.864)
O (0.678, 0.059, 0.364)
O (0.678, 0.619, 0.136)
O (0.941, 0.322, 0.136)
O (0.941, 0.619, 0.364)

***

[3]
## Cd2In2P (PBE-GGA)

Data for a relaxed Cd2In2P crystal.

Calculated values
total DFT energy (no corrections): -23.7 eV/cell
Fermi-level density of states: 4.94 states/eV/cell

abc: 6.979 6.979 5.183
angles: 90.00 90.00 90.00
Atoms (fractional coordinates):
Cd (0.143, 0.357, 0.000)
Cd (0.357, 0.857, 0.000)
Cd (0.643, 0.143, 0.000)
Cd (0.857, 0.643, 0.000)
In (0.168, 0.668, 0.500)
In (0.332, 0.168, 0.500)
In (0.668, 0.832, 0.500)
In (0.832, 0.332, 0.500)
P (0.000, 0.000, 0.000)
P (0.500, 0.500, 0.000)

***

[4]
## Na2Li3CdSb4 (PBE-GGA)

Data for a relaxed Na2Li3CdSb4 crystal.

Calculated values
raw formation energy: -0.385 eV/atom
Fermi-level density of states: 3.83 states/eV/cell

abc: 4.458 4.458 12.785
angles: 90.00 90.00 90.00
Atoms (fractional coordinates):
Na (0.000, 0.500, 0.233)
Na (0.500, 0.000, 0.767)
Li (0.000, 0.000, 0.000)
Li (0.000, 0.500, 0.644)
Li (0.500, 0.000, 0.356)
Cd (0.500, 0.500, 0.000)
Sb (0.000, 0.000, 0.500)
Sb (0.000, 0.500, 0.856)
Sb (0.500, 0.000, 0.144)
Sb (0.500, 0.500, 0.500)

***

[5]
## MgZn4S5 (PBE-GGA)

Data for a relaxed MgZn4S5 crystal.

Calculated values
raw formation energy: -0.921 eV/atom
Fermi-level density of states: 0.00 states/eV/cell

abc: 3.882 3.882 31.829
angles: 90.00 90.00 120.00
Atoms (fractional coordinates):
Mg (0.000, 0.000, 0.000)
Mg (0.000, 0.000, 0.204)
Zn (0.000, 0.000, 0.405)
Zn (0.000, 0.000, 0.602)
Zn (0.000, 0.000, 0.799)
Zn (0.333, 0.667, 0.102)
Zn (0.333, 0.667, 0.306)
Zn (0.333, 0.667, 0.504)
Zn (0.333, 0.667, 0.701)
Zn (0.333, 0.667, 0.898)
S (0.000, 0.000, 0.127)
S (0.000, 0.000, 0.331)
S (0.000, 0.000, 0.528)
S (0.000, 0.000, 0.725)
S (0.000, 0.000, 0.922)
S (0.333, 0.667, 0.028)
S (0.333, 0.667, 0.232)
S (0.333, 0.667, 0.429)
S (0.333, 0.667, 0.626)
S (0.333, 0.667, 0.824)

***

[6]
## NdGaRh2 (PBE-GGA)

Data for a relaxed NdGaRh2 crystal.

Calculated values
total DFT energy (no corrections): -24.8 eV/cell
Fermi-level density of states: 1.95 states/eV/cell

abc: 3.222 3.222 6.865
angles: 90.00 90.00 90.00
Atoms (fractional coordinates):
Nd (0.000, 0.000, 0.000)
Ga (0.000, 0.000, 0.500)
Rh (0.500, 0.500, 0.296)
Rh (0.500, 0.500, 0.704)

***

[7]
## CaIr2Ru (PBE-GGA)

Data for a relaxed CaIr2Ru crystal.

Calculated values
total DFT energy (no corrections): -27.7 eV/cell
Fermi-level density of states: 7.40 states/eV/cell

abc: 9.385 9.385 9.385
angles: 17.49 17.49 17.49
Atoms (fractional coordinates):
Ca (0.000, 0.000, 0.000)
Ir (0.244, 0.244, 0.244)
Ir (0.756, 0.756, 0.756)
Ru (0.500, 0.500, 0.500)

***

[8]
## CeThTi (PBE-GGA)

Data for a relaxed CeThTi crystal.

Calculated values
total DFT energy (no corrections): -82.7 eV/cell
Fermi-level density of states: 24.72 states/eV/cell

abc: 6.295 8.011 6.188
angles: 90.00 90.00 90.00
Atoms (fractional coordinates):
Ce (0.101, 0.163, 0.000)
Ce (0.399, 0.663, 0.000)
Ce (0.601, 0.337, 0.000)
Ce (0.899, 0.837, 0.000)
Th (0.146, 0.822, 0.500)
Th (0.354, 0.322, 0.500)
Th (0.646, 0.678, 0.500)
Th (0.854, 0.178, 0.500)
Ti (0.000, 0.500, 0.233)
Ti (0.000, 0.500, 0.767)
Ti (0.500, 0.000, 0.233)
Ti (0.500, 0.000, 0.767)

***

[9]
## CrHg2Cl (PBE-GGA)

Data for a relaxed CrHg2Cl crystal.

Calculated values
raw formation energy: 0.125 eV/atom
Fermi-level density of states: 1.85 states/eV/cell

abc: 3.354 3.354 7.811
angles: 90.00 90.00 90.00
Atoms (fractional coordinates):
Cr (0.000, 0.000, 0.000)
Hg (0.500, 0.500, 0.230)
Hg (0.500, 0.500, 0.770)
Cl (0.000, 0.000, 0.500)

***

[10]
## ScIrSe2 (PBE-GGA)

Data for a relaxed ScIrSe2 crystal.

Calculated values
raw formation energy: -0.527 eV/atom
Fermi-level density of states: 4.11 states/eV/cell

abc: 5.934 5.934 5.934
angles: 39.45 39.45 39.45
Atoms (fractional coordinates):
Sc (0.000, 0.000, 0.000)
Ir (0.500, 0.500, 0.500)
Se (0.243, 0.243, 0.243)
Se (0.757, 0.757, 0.757)

***

[11]
## YCuRe2 (PBE-GGA)

Data for a relaxed YCuRe2 crystal.

Calculated values
total DFT energy (no corrections): -34.0 eV/cell
Fermi-level density of states: 2.75 states/eV/cell

abc: 5.371 5.371 4.684
angles: 104.60 104.60 31.07
Atoms (fractional coordinates):
Y (0.000, 0.000, 0.000)
Cu (0.500, 0.500, 0.500)
Re (0.221, 0.221, 0.716)
Re (0.779, 0.779, 0.284)

***

[12]
## Ti2CdSiAu (PBE-GGA)

Data for a relaxed Ti2CdSiAu crystal.

Calculated values
raw formation energy: 0.198 eV/atom
Fermi-level density of states: 3.82 states/eV/cell

abc: 4.689 4.689 4.639
angles: 90.00 90.00 90.00
Atoms (fractional coordinates):
Ti (0.000, 0.500, 0.000)
Ti (0.500, 0.000, 0.000)
Cd (0.000, 0.000, 0.500)
Si (0.500, 0.500, 0.000)
Au (0.500, 0.500, 0.500)